This record from Alexandria via LeMat-Bulk describes Cs8Na6Hg after structural relaxation. The functional is GGA-PBE.

Cell and atoms, written as POSCAR:
```
Cs8Na6Hg
1.0
6.4826 3.7427 8.1668
-6.4826 3.7427 8.1668
0.0000 -7.4855 8.1668
Cs Na Hg
8 6 1
direct
0.1610 0.6510 0.3843 Cs
0.1801 0.1801 0.1801 Cs
0.3490 0.6157 0.8390 Cs
0.3843 0.1610 0.6510 Cs
0.6157 0.8390 0.3490 Cs
0.6510 0.3843 0.1610 Cs
0.8199 0.8199 0.8199 Cs
0.8390 0.3490 0.6157 Cs
0.0571 0.4430 0.8363 Na
0.1637 0.9429 0.5570 Na
0.4430 0.8363 0.0571 Na
0.5570 0.1637 0.9429 Na
0.8363 0.0571 0.4430 Na
0.9429 0.5570 0.1637 Na
0.5000 0.5000 0.5000 Hg
```

Summary:
* total magnetic moment: 0.00 μB per cell
* calculated total energy: -0.98 eV/atom
* space-group type: No. 148
* calculated volume: 79.26 Å³ per atom
* energy of formation: 27.9 meV/atom